No. 1
# CoNi4 | Alexandria via LeMat-Bulk | PBE | optimized geometry
# Energy above the lowest structure with this stoichiometry, meV per atom: 266
# Crystal system: tetragonal
data_CoNi4
_cell_length_a 5.154
_cell_length_b 5.154
_cell_length_c 4.360
_cell_angle_alpha 90.00
_cell_angle_beta 90.00
_cell_angle_gamma 90.00
_space_group_name_H-M_alt 'P 1'
_space_group_IT_number 1
_space_group_name_Hall 'P 1'
loop_
_atom_site_label
_atom_site_type_symbol
_atom_site_fract_x
_atom_site_fract_y
_atom_site_fract_z
Co1 Co 0.000 0.000 0.750
Co2 Co 0.000 0.000 0.250
Ni1 Ni 0.367 0.808 0.000
Ni2 Ni 0.192 0.633 0.500
Ni3 Ni 0.808 0.367 0.500
Ni4 Ni 0.367 0.192 0.500
Ni5 Ni 0.808 0.633 0.000
Ni6 Ni 0.633 0.192 0.000
Ni7 Ni 0.192 0.367 0.000
Ni8 Ni 0.633 0.808 0.500

---

No. 2
# BaTlP3O9 | Alexandria via LeMat-Bulk | PBE | optimized geometry
# Crystal system: orthorhombic
# Formation energy (no corrections), kJ/mol of formula units: -3073
data_BaTlP3O9
_cell_length_a 6.349
_cell_length_b 11.439
_cell_length_c 13.099
_cell_angle_alpha 90.00
_cell_angle_beta 90.00
_cell_angle_gamma 90.00
_space_group_name_H-M_alt 'P 1'
_space_group_IT_number 1
_space_group_name_Hall 'P 1'
loop_
_atom_site_label
_atom_site_type_symbol
_atom_site_fract_x
_atom_site_fract_y
_atom_site_fract_z
Ba1 Ba 0.411 0.397 0.423
Ba2 Ba 0.089 0.603 0.923
Ba3 Ba 0.589 0.897 0.077
Ba4 Ba 0.911 0.103 0.577
Tl1 Tl 0.402 0.021 0.368
Tl2 Tl 0.098 0.979 0.868
Tl3 Tl 0.598 0.521 0.132
Tl4 Tl 0.902 0.479 0.632
P1 P 0.080 0.725 0.180
P2 P 0.420 0.275 0.680
P3 P 0.920 0.225 0.320
P4 P 0.580 0.775 0.820
P5 P 0.116 0.354 0.155
P6 P 0.384 0.646 0.655
P7 P 0.884 0.854 0.345
P8 P 0.616 0.146 0.845
P9 P 0.088 0.097 0.138
P10 P 0.412 0.903 0.638
P11 P 0.912 0.597 0.362
P12 P 0.588 0.403 0.862
O1 O 0.072 0.834 0.260
O2 O 0.428 0.166 0.760
O3 O 0.928 0.334 0.240
O4 O 0.572 0.666 0.740
O5 O 0.202 0.280 0.635
O6 O 0.298 0.720 0.135
O7 O 0.798 0.780 0.865
O8 O 0.702 0.220 0.365
O9 O 0.458 0.555 0.582
O10 O 0.042 0.445 0.082
O11 O 0.542 0.055 0.918
O12 O 0.958 0.945 0.418
O13 O 0.099 0.230 0.396
O14 O 0.401 0.770 0.896
O15 O 0.901 0.730 0.104
O16 O 0.599 0.270 0.604
O17 O 0.109 0.229 0.095
O18 O 0.391 0.771 0.595
O19 O 0.891 0.729 0.405
O20 O 0.609 0.271 0.905
O21 O 0.948 0.029 0.068
O22 O 0.552 0.971 0.568
O23 O 0.052 0.529 0.432
O24 O 0.448 0.471 0.932
O25 O 0.304 0.049 0.161
O26 O 0.196 0.951 0.661
O27 O 0.696 0.549 0.339
O28 O 0.804 0.451 0.839
O29 O 0.046 0.616 0.257
O30 O 0.454 0.384 0.757
O31 O 0.954 0.116 0.243
O32 O 0.546 0.884 0.743
O33 O 0.319 0.368 0.212
O34 O 0.181 0.632 0.712
O35 O 0.681 0.868 0.288
O36 O 0.819 0.132 0.788

---

No. 3
# LiTa3Pt | Alexandria via LeMat-Bulk | PBE | optimized geometry
# Energy above the lowest structure with this stoichiometry, meV per atom: 0
# Crystal system: cubic
data_LiTa3Pt
_cell_length_a 4.351
_cell_length_b 4.351
_cell_length_c 4.351
_cell_angle_alpha 90.00
_cell_angle_beta 90.00
_cell_angle_gamma 90.00
_space_group_name_H-M_alt 'P 1'
_space_group_IT_number 1
_space_group_name_Hall 'P 1'
loop_
_atom_site_label
_atom_site_type_symbol
_atom_site_fract_x
_atom_site_fract_y
_atom_site_fract_z
Li1 Li 0.000 0.000 0.000
Pt1 Pt 0.500 0.500 0.500
Ta1 Ta 0.000 0.500 0.000
Ta2 Ta 0.000 0.000 0.500
Ta3 Ta 0.500 0.000 0.000

---

No. 4
# ZnPt2W | Alexandria via LeMat-Bulk | PBE | optimized geometry
# Crystal system: orthorhombic
data_ZnPt2W
_cell_length_a 2.790
_cell_length_b 4.009
_cell_length_c 5.541
_cell_angle_alpha 90.00
_cell_angle_beta 90.00
_cell_angle_gamma 90.00
_space_group_name_H-M_alt 'P 1'
_space_group_IT_number 1
_space_group_name_Hall 'P 1'
loop_
_atom_site_label
_atom_site_type_symbol
_atom_site_fract_x
_atom_site_fract_y
_atom_site_fract_z
Pt1 Pt 0.000 0.000 0.967
Pt2 Pt 0.500 0.500 0.279
W1 W 0.000 0.000 0.481
Zn1 Zn 0.500 0.500 0.774

---

No. 5
# Li5Mg | Alexandria via LeMat-Bulk | PBE | optimized geometry
# Energy above the lowest structure with this stoichiometry, meV per atom: 7
# Crystal system: orthorhombic
data_Li5Mg
_cell_length_a 6.713
_cell_length_b 6.713
_cell_length_c 4.242
_cell_angle_alpha 90.00
_cell_angle_beta 90.00
_cell_angle_gamma 140.69
_space_group_name_H-M_alt 'P 1'
_space_group_IT_number 1
_space_group_name_Hall 'P 1'
loop_
_atom_site_label
_atom_site_type_symbol
_atom_site_fract_x
_atom_site_fract_y
_atom_site_fract_z
Li1 Li 0.805 0.195 0.500
Li2 Li 0.640 0.360 0.000
Li3 Li 0.472 0.528 0.500
Li4 Li 0.304 0.696 0.000
Li5 Li 0.139 0.861 0.500
Mg1 Mg 0.972 0.028 0.000

---

No. 6
# ErHf2TaC4 | Alexandria via LeMat-Bulk | PBE | optimized geometry
# Crystal system: orthorhombic
data_ErHf2TaC4
_cell_length_a 3.348
_cell_length_b 6.027
_cell_length_c 11.754
_cell_angle_alpha 90.00
_cell_angle_beta 90.00
_cell_angle_gamma 106.12
_space_group_name_H-M_alt 'P 1'
_space_group_IT_number 1
_space_group_name_Hall 'P 1'
loop_
_atom_site_label
_atom_site_type_symbol
_atom_site_fract_x
_atom_site_fract_y
_atom_site_fract_z
Er1 Er 0.136 0.273 0.750
Er2 Er 0.864 0.727 0.250
Hf1 Hf 0.368 0.736 0.529
Hf2 Hf 0.632 0.264 0.029
Hf3 Hf 0.632 0.264 0.471
Hf4 Hf 0.368 0.736 0.971
Ta1 Ta 0.867 0.734 0.750
Ta2 Ta 0.133 0.266 0.250
C1 C 0.249 0.498 0.117
C2 C 0.751 0.502 0.617
C3 C 0.751 0.502 0.883
C4 C 0.249 0.498 0.383
C5 C 0.000 0.000 0.500
C6 C 0.000 0.000 0.000
C7 C 0.472 0.945 0.750
C8 C 0.528 0.055 0.250

---

No. 7
# BaFeAu | Alexandria via LeMat-Bulk | PBE | optimized geometry
# Crystal system: cubic
data_BaFeAu
_cell_length_a 5.337
_cell_length_b 5.337
_cell_length_c 5.337
_cell_angle_alpha 60.00
_cell_angle_beta 60.00
_cell_angle_gamma 60.00
_space_group_name_H-M_alt 'P 1'
_space_group_IT_number 1
_space_group_name_Hall 'P 1'
loop_
_atom_site_label
_atom_site_type_symbol
_atom_site_fract_x
_atom_site_fract_y
_atom_site_fract_z
Au1 Au 0.500 0.500 0.500
Ba1 Ba 0.750 0.750 0.750
Fe1 Fe 0.000 0.000 0.000

---

No. 8
# YTiGa4 | Alexandria via LeMat-Bulk | PBE | optimized geometry
# Energy above the lowest structure with this stoichiometry, meV per atom: 134
# Crystal system: triclinic
data_YTiGa4
_cell_length_a 5.650
_cell_length_b 5.754
_cell_length_c 7.583
_cell_angle_alpha 85.16
_cell_angle_beta 111.82
_cell_angle_gamma 89.96
_space_group_name_H-M_alt 'P 1'
_space_group_IT_number 1
_space_group_name_Hall 'P 1'
loop_
_atom_site_label
_atom_site_type_symbol
_atom_site_fract_x
_atom_site_fract_y
_atom_site_fract_z
Y1 Y 0.913 0.750 0.000
Y2 Y 0.087 0.250 0.000
Ti1 Ti 0.500 0.000 0.500
Ti2 Ti 0.000 0.500 0.500
Ga1 Ga 0.486 0.164 0.830
Ga2 Ga 0.656 0.336 0.169
Ga3 Ga 0.514 0.836 0.170
Ga4 Ga 0.344 0.664 0.831
Ga5 Ga 0.012 0.015 0.663
Ga6 Ga 0.350 0.486 0.337
Ga7 Ga 0.988 0.985 0.337
Ga8 Ga 0.650 0.514 0.663

---

No. 9
# Tl3PdSe | Alexandria via LeMat-Bulk | PBE | optimized geometry
# Energy above the lowest structure with this stoichiometry, meV per atom: 0
# Crystal system: cubic
# Formation energy (no corrections), kJ/mol of formula units: -61
data_Tl3PdSe
_cell_length_a 5.333
_cell_length_b 5.333
_cell_length_c 5.333
_cell_angle_alpha 90.00
_cell_angle_beta 90.00
_cell_angle_gamma 90.00
_space_group_name_H-M_alt 'P 1'
_space_group_IT_number 1
_space_group_name_Hall 'P 1'
loop_
_atom_site_label
_atom_site_type_symbol
_atom_site_fract_x
_atom_site_fract_y
_atom_site_fract_z
Tl1 Tl 0.000 0.500 0.000
Tl2 Tl 0.000 0.000 0.500
Tl3 Tl 0.500 0.000 0.000
Se1 Se 0.500 0.500 0.500
Pd1 Pd 0.000 0.000 0.000

---

No. 10
# Nd4Si7 | Alexandria via LeMat-Bulk | PBE | optimized geometry
# Energy above the lowest structure with this stoichiometry, meV per atom: 977
# Crystal system: orthorhombic
# Formation energy (no corrections), kJ/mol of formula units: 382
data_Nd4Si7
_cell_length_a 3.193
_cell_length_b 5.696
_cell_length_c 16.051
_cell_angle_alpha 90.00
_cell_angle_beta 90.00
_cell_angle_gamma 90.00
_space_group_name_H-M_alt 'P 1'
_space_group_IT_number 1
_space_group_name_Hall 'P 1'
loop_
_atom_site_label
_atom_site_type_symbol
_atom_site_fract_x
_atom_site_fract_y
_atom_site_fract_z
Nd1 Nd 0.000 0.500 0.139
Nd2 Nd 0.000 0.500 0.633
Nd3 Nd 0.000 0.000 0.339
Nd4 Nd 0.000 0.000 0.837
Si1 Si 0.000 0.500 0.443
Si2 Si 0.000 0.500 0.817
Si3 Si 0.000 0.000 0.162
Si4 Si 0.000 0.000 0.658
Si5 Si 0.000 0.500 0.961
Si6 Si 0.000 0.000 0.018
Si7 Si 0.000 0.000 0.515

---

No. 11
# RbSiAu3 | Alexandria via LeMat-Bulk | PBE | optimized geometry
# Energy above the lowest structure with this stoichiometry, meV per atom: 212
# Crystal system: monoclinic
# Formation energy (no corrections), kJ/mol of formula units: -30
data_RbSiAu3
_cell_length_a 16.134
_cell_length_b 9.275
_cell_length_c 9.275
_cell_angle_alpha 119.77
_cell_angle_beta 142.90
_cell_angle_gamma 37.10
_space_group_name_H-M_alt 'P 1'
_space_group_IT_number 1
_space_group_name_Hall 'P 1'
loop_
_atom_site_label
_atom_site_type_symbol
_atom_site_fract_x
_atom_site_fract_y
_atom_site_fract_z
Si1 Si 0.300 0.146 0.500
Si2 Si 0.200 0.000 0.646
Si3 Si 0.700 0.854 0.500
Si4 Si 0.800 0.000 0.354
Au1 Au 0.397 0.259 0.415
Au2 Au 0.103 0.915 0.759
Au3 Au 0.603 0.741 0.585
Au4 Au 0.897 0.085 0.241
Au5 Au 0.062 0.272 0.038
Au6 Au 0.438 0.538 0.772
Au7 Au 0.938 0.728 0.962
Au8 Au 0.562 0.462 0.228
Au9 Au 0.606 0.076 0.902
Au10 Au 0.894 0.402 0.576
Au11 Au 0.394 0.924 0.098
Au12 Au 0.106 0.598 0.424
Rb1 Rb 0.750 0.223 0.723
Rb2 Rb 0.250 0.777 0.277
Rb3 Rb 0.750 0.612 0.112
Rb4 Rb 0.250 0.388 0.888

---

Values for VASP energy, eV/atom, ordered as above
-5.78; -6.93; -7.82; -6.75; -1.87; -9.57; -3.76; -4.66; -3.28; -4.83; -3.31